Material: Zr4Ir3
Method: DFT, PBE-GGA
State: relaxed

POSCAR file:
```
Zr4Ir3
1.0
5.270 6.085 0.000
-2.636 7.607 0.000
0.000 0.000 4.720
Ir Zr
6 8
Direct
0.705 0.439 0.000
0.296 0.571 0.000
0.428 0.847 0.000
0.525 0.391 0.500
0.656 0.668 0.500
0.248 0.799 0.500
0.570 0.189 0.000
0.143 0.286 0.000
0.812 0.713 0.000
0.047 0.955 0.000
0.383 0.049 0.500
0.906 0.283 0.500
0.140 0.525 0.500
0.809 0.952 0.500
```

Symmetry: No. 176
Polymorph energy (0 for the lowest one), meV per atom: 293

***

Material: TlTe2PdAuSe
Method: DFT, PBE-GGA
State: relaxed

POSCAR file:
```
TlTe2PdAuSe
1.0
2.052 -6.380 0.000
2.052 6.380 0.000
0.000 0.000 11.597
Au Pd Se Te Tl
2 2 2 4 2
Direct
0.867 0.133 0.250
0.133 0.867 0.750
0.500 0.500 0.000
0.500 0.500 0.500
0.516 0.484 0.250
0.484 0.516 0.750
0.864 0.136 0.019
0.864 0.136 0.481
0.136 0.864 0.519
0.136 0.864 0.981
0.198 0.802 0.250
0.802 0.198 0.750
```

Symmetry: No. 63

***

Material: NaTmCdTe3
Method: DFT, PBE-GGA
State: relaxed

POSCAR file:
```
NaTmCdTe3
1.0
8.712 0.000 0.000
0.000 4.404 0.000
-2.685 0.000 10.204
Cd Na Te Tm
2 2 6 2
Direct
0.916 0.750 0.398
0.084 0.250 0.602
0.202 0.250 0.225
0.798 0.750 0.775
0.915 0.750 0.133
0.433 0.750 0.153
0.738 0.250 0.462
0.262 0.750 0.538
0.567 0.250 0.847
0.085 0.250 0.867
0.671 0.250 0.146
0.329 0.750 0.854
```

Symmetry: No. 11
Polymorph energy (0 for the lowest one), meV per atom: 0

***

Material: Cu10Te3
Method: DFT, PBE-GGA
State: relaxed

POSCAR file:
```
Cu10Te3
1.0
-3.118 4.840 -2.344
-2.097 -1.746 -0.815
-13.894 3.472 28.313
Cu Te
20 6
Direct
0.418 0.500 0.295
0.739 0.000 0.314
0.067 0.500 0.339
0.395 0.000 0.360
0.716 0.500 0.380
0.040 0.000 0.403
0.364 0.500 0.425
0.688 0.000 0.445
0.013 0.500 0.468
0.338 0.000 0.489
0.662 0.500 0.511
0.987 0.000 0.532
0.312 0.500 0.555
0.636 0.000 0.575
0.960 0.500 0.597
0.284 0.000 0.620
0.605 0.500 0.640
0.933 0.000 0.661
0.261 0.500 0.686
0.582 0.000 0.705
0.143 0.000 0.156
0.601 0.500 0.223
0.072 0.000 0.263
0.928 0.500 0.737
0.399 0.000 0.777
0.857 0.500 0.844
```

Symmetry: No. 11

***

The calculation returns the following E_tot values, one per record and in order: -126.714 -43.434 -43.572 -90.070 eV/cell.